(one)
# PBE-GGA PmPrGd2, relaxed
data_PmPrGd2
_chemical_formula_sum 'Pm4 Pr4 Gd8'
_cell_length_a 8.162
_cell_length_b 8.162
_cell_length_c 8.162
_cell_angle_alpha 90.00
_cell_angle_beta 90.00
_cell_angle_gamma 90.00
_space_group_name_H-M_alt 'F m -3 m'
_space_group_IT_number 225
_space_group_name_Hall '-F 4 2 3'
loop_
_atom_site_label
_atom_site_type_symbol
_atom_site_fract_x
_atom_site_fract_y
_atom_site_fract_z
Pm1 Pm 0.000 0.000 0.000
Pr1 Pr 0.000 0.000 0.500
Gd1 Gd 0.250 0.250 0.250
# Fermi-level density of states, states/eV per cell: 29.29

(two)
# PBE-GGA PmPrGd2, relaxed
data_PmPrGd2
_chemical_formula_sum 'Pm1 Pr1 Gd2'
_cell_length_a 3.638
_cell_length_b 3.638
_cell_length_c 10.239
_cell_angle_alpha 90.00
_cell_angle_beta 90.00
_cell_angle_gamma 90.00
_space_group_name_H-M_alt 'P 4/m m m'
_space_group_IT_number 123
_space_group_name_Hall '-P 4 2'
loop_
_atom_site_label
_atom_site_type_symbol
_atom_site_fract_x
_atom_site_fract_y
_atom_site_fract_z
Pm1 Pm 0.000 0.000 0.000
Pr1 Pr 0.000 0.000 0.500
Gd1 Gd 0.500 0.500 0.248
# Fermi-level density of states, states/eV per cell: 7.16

Of them, (one) has the lowest stability.

(one)
# PBE-GGA PmPrGd2, relaxed
data_PmPrGd2
_chemical_formula_sum 'Pm3 Pr3 Gd6'
_cell_length_a 3.5526
_cell_length_b 3.5526
_cell_length_c 37.7076
_cell_angle_alpha 90.00
_cell_angle_beta 90.00
_cell_angle_gamma 120.00
_space_group_name_H-M_alt 'R -3 m'
_space_group_IT_number 166
_space_group_name_Hall '-R 3 2"'
loop_
_atom_site_label
_atom_site_type_symbol
_atom_site_fract_x
_atom_site_fract_y
_atom_site_fract_z
Pm1 Pm 0.0000 0.0000 0.0000
Pr1 Pr 0.0000 0.0000 0.5000
Gd1 Gd 0.0000 0.0000 0.4101
# Fermi-level density of states, states/eV per cell: 15.34

(two)
# PBE-GGA PmPrGd2, relaxed
data_PmPrGd2
_chemical_formula_sum 'Pm1 Pr1 Gd2'
_cell_length_a 5.139
_cell_length_b 5.139
_cell_length_c 5.123
_cell_angle_alpha 90.00
_cell_angle_beta 90.00
_cell_angle_gamma 90.00
_space_group_name_H-M_alt 'P 4/m m m'
_space_group_IT_number 123
_space_group_name_Hall '-P 4 2'
loop_
_atom_site_label
_atom_site_type_symbol
_atom_site_fract_x
_atom_site_fract_y
_atom_site_fract_z
Pm1 Pm 0.000 0.000 0.000
Pr1 Pr 0.500 0.500 0.000
Gd1 Gd 0.000 0.500 0.500
# Fermi-level density of states, states/eV per cell: 7.16

Of them, (one) has the lowest stability.

(one)
# PBE-GGA PmGd2Pu, relaxed
data_PmGd2Pu
_chemical_formula_sum 'Pm4 Gd8 Pu4'
_cell_length_a 8.020
_cell_length_b 8.020
_cell_length_c 8.020
_cell_angle_alpha 90.00
_cell_angle_beta 90.00
_cell_angle_gamma 90.00
_space_group_name_H-M_alt 'F m -3 m'
_space_group_IT_number 225
_space_group_name_Hall '-F 4 2 3'
loop_
_atom_site_label
_atom_site_type_symbol
_atom_site_fract_x
_atom_site_fract_y
_atom_site_fract_z
Pm1 Pm 0.000 0.000 0.000
Gd1 Gd 0.250 0.250 0.250
Pu1 Pu 0.000 0.000 0.500
# Fermi-level density of states, states/eV per cell: 50.03

(two)
# PBE-GGA PmGd2Pu, relaxed
data_PmGd2Pu
_chemical_formula_sum 'Pm1 Gd2 Pu1'
_cell_length_a 5.002
_cell_length_b 5.002
_cell_length_c 4.993
_cell_angle_alpha 90.00
_cell_angle_beta 90.00
_cell_angle_gamma 90.00
_space_group_name_H-M_alt 'P 4/m m m'
_space_group_IT_number 123
_space_group_name_Hall '-P 4 2'
loop_
_atom_site_label
_atom_site_type_symbol
_atom_site_fract_x
_atom_site_fract_y
_atom_site_fract_z
Pm1 Pm 0.000 0.000 0.000
Gd1 Gd 0.000 0.500 0.500
Pu1 Pu 0.500 0.500 0.000
# Fermi-level density of states, states/eV per cell: 17.05

Of them, (one) has the lowest stability.

(one)
# PBE-GGA PmGdPu2, relaxed
data_PmGdPu2
_chemical_formula_sum 'Pm4 Gd4 Pu8'
_cell_length_a 7.847
_cell_length_b 7.847
_cell_length_c 7.847
_cell_angle_alpha 90.00
_cell_angle_beta 90.00
_cell_angle_gamma 90.00
_space_group_name_H-M_alt 'F m -3 m'
_space_group_IT_number 225
_space_group_name_Hall '-F 4 2 3'
loop_
_atom_site_label
_atom_site_type_symbol
_atom_site_fract_x
_atom_site_fract_y
_atom_site_fract_z
Pm1 Pm 0.000 0.000 0.000
Gd1 Gd 0.000 0.000 0.500
Pu1 Pu 0.250 0.250 0.250
# Fermi-level density of states, states/eV per cell: 59.88

(two)
# PBE-GGA PmGdPu2, relaxed
data_PmGdPu2
_chemical_formula_sum 'Pm1 Gd1 Pu2'
_cell_length_a 4.834
_cell_length_b 4.834
_cell_length_c 5.057
_cell_angle_alpha 90.00
_cell_angle_beta 90.00
_cell_angle_gamma 90.00
_space_group_name_H-M_alt 'P 4/m m m'
_space_group_IT_number 123
_space_group_name_Hall '-P 4 2'
loop_
_atom_site_label
_atom_site_type_symbol
_atom_site_fract_x
_atom_site_fract_y
_atom_site_fract_z
Pm1 Pm 0.000 0.000 0.000
Gd1 Gd 0.500 0.500 0.000
Pu1 Pu 0.000 0.500 0.500
# Fermi-level density of states, states/eV per cell: 16.20

Of them, (one) has the lowest stability.

(one)
# PBE-GGA PmGd2Ru, relaxed
data_PmGd2Ru
_chemical_formula_sum 'Pm1 Gd2 Ru1'
_cell_length_a 3.465
_cell_length_b 3.465
_cell_length_c 9.116
_cell_angle_alpha 90.00
_cell_angle_beta 90.00
_cell_angle_gamma 90.00
_space_group_name_H-M_alt 'P 4/m m m'
_space_group_IT_number 123
_space_group_name_Hall '-P 4 2'
loop_
_atom_site_label
_atom_site_type_symbol
_atom_site_fract_x
_atom_site_fract_y
_atom_site_fract_z
Pm1 Pm 0.000 0.000 0.000
Gd1 Gd 0.500 0.500 0.318
Ru1 Ru 0.000 0.000 0.500
# Fermi-level density of states, states/eV per cell: 3.42

(two)
# PBE-GGA PmGd2Ru, relaxed
data_PmGd2Ru
_chemical_formula_sum 'Pm3 Gd6 Ru3'
_cell_length_a 3.8080
_cell_length_b 3.8080
_cell_length_c 28.3904
_cell_angle_alpha 90.00
_cell_angle_beta 90.00
_cell_angle_gamma 120.00
_space_group_name_H-M_alt 'R -3 m'
_space_group_IT_number 166
_space_group_name_Hall '-R 3 2"'
loop_
_atom_site_label
_atom_site_type_symbol
_atom_site_fract_x
_atom_site_fract_y
_atom_site_fract_z
Pm1 Pm 0.0000 0.0000 0.0000
Gd1 Gd 0.0000 0.0000 0.2247
Ru1 Ru 0.0000 0.0000 0.5000
# Fermi-level density of states, states/eV per cell: 12.45

Of them, (two) has the lowest stability.

(one)
# PBE-GGA Pm2GdSb, relaxed
data_Pm2GdSb
_chemical_formula_sum 'Pm2 Gd1 Sb1'
_cell_length_a 4.134
_cell_length_b 4.134
_cell_length_c 7.164
_cell_angle_alpha 90.00
_cell_angle_beta 90.00
_cell_angle_gamma 90.00
_space_group_name_H-M_alt 'P 4/m m m'
_space_group_IT_number 123
_space_group_name_Hall '-P 4 2'
loop_
_atom_site_label
_atom_site_type_symbol
_atom_site_fract_x
_atom_site_fract_y
_atom_site_fract_z
Pm1 Pm 0.000 0.000 0.223
Gd1 Gd 0.500 0.500 0.500
Sb1 Sb 0.500 0.500 0.000
# Fermi-level density of states, states/eV per cell: 5.92

(two)
# PBE-GGA Pm2GdSb, relaxed
data_Pm2GdSb
_chemical_formula_sum 'Pm2 Gd1 Sb1'
_cell_length_a 4.886
_cell_length_b 4.886
_cell_length_c 4.850
_cell_angle_alpha 90.00
_cell_angle_beta 90.00
_cell_angle_gamma 90.00
_space_group_name_H-M_alt 'P 4/m m m'
_space_group_IT_number 123
_space_group_name_Hall '-P 4 2'
loop_
_atom_site_label
_atom_site_type_symbol
_atom_site_fract_x
_atom_site_fract_y
_atom_site_fract_z
Pm1 Pm 0.000 0.500 0.000
Gd1 Gd 0.000 0.000 0.500
Sb1 Sb 0.500 0.500 0.500
# Fermi-level density of states, states/eV per cell: 4.55

(three)
# PBE-GGA Pm2GdSb, relaxed
data_Pm2GdSb
_chemical_formula_sum 'Pm8 Gd4 Sb4'
_cell_length_a 7.762
_cell_length_b 7.762
_cell_length_c 7.762
_cell_angle_alpha 90.00
_cell_angle_beta 90.00
_cell_angle_gamma 90.00
_space_group_name_H-M_alt 'F m -3 m'
_space_group_IT_number 225
_space_group_name_Hall '-F 4 2 3'
loop_
_atom_site_label
_atom_site_type_symbol
_atom_site_fract_x
_atom_site_fract_y
_atom_site_fract_z
Pm1 Pm 0.250 0.250 0.250
Gd1 Gd 0.000 0.000 0.000
Sb1 Sb 0.000 0.000 0.500
# Fermi-level density of states, states/eV per cell: 15.47

Of them, (three) has the lowest stability.